No. 1
MgTeP2 | PBE-GGA | optimized geometry

Cell lengths 4.8054, 4.8054, 3.3599 Å; angles 90.00, 90.00, 90.49 degrees
Closest atoms and distances in Å follow each position.
Element x y z (fractional)
1 Mg 0.0000 0.0000 0.0000  8 P 2.93
2 Te 0.5000 0.5000 0.0000  8 P 2.93
3 P 0.0000 0.5000 0.5000  4 Mg 2.93, 4 Te 2.93
4 P 0.5000 0.0000 0.5000  4 Mg 2.93, 4 Te 2.93

Results
Energy relative to the elements, uncorrected   0.274 eV per atom
Size of the total moment   0.0 μB per cell
DOS at the Fermi energy   0.60 states/eV per atom
ΔE to the lowest computed polymorph   40.7 kJ/mol of atoms


No. 2
MgTeP2 | PBE-GGA | optimized geometry

Cell lengths 7.7299, 7.7299, 7.7299 Å; angles 135.84, 135.84, 64.23 degrees
Closest atoms and distances in Å follow each position.
Element x y z (fractional)
1 Mg 0.0000 0.0000 0.0000  4 P 2.58
2 Mg 0.7500 0.2500 0.5000  4 P 2.58
3 Te 0.2500 0.7500 0.5000  4 P 2.67
4 Te 0.5000 0.5000 0.0000  4 P 2.67
5 P 0.1113 0.6250 0.9863  2 Mg 2.58, 2 Te 2.67
6 P 0.3750 0.3613 0.4863  2 Mg 2.58, 2 Te 2.67
7 P 0.6387 0.1250 0.0137  2 Mg 2.58, 2 Te 2.67
8 P 0.8750 0.8887 0.5137  2 Mg 2.58, 2 Te 2.67

Results
Energy relative to the elements, uncorrected   0.157 eV per atom
Size of the total moment   0.0 μB per cell
DOS at the Fermi energy   0.10 states/eV per atom
ΔE to the lowest computed polymorph   29.4 kJ/mol of atoms


No. 3
MgTeP | PBE-GGA | optimized geometry

Cell lengths 7.9281, 7.9281, 7.9281 Å; angles 157.49, 157.49, 32.05 degrees
Closest atoms and distances in Å follow each position.
Element x y z (fractional)
1 Mg 0.0000 0.0000 0.0000  4 P 2.69
2 Te 0.6645 0.6645 0.0000  4 Te 3.09, 4 Mg 3.33
3 P 0.3973 0.3973 0.0000  4 Mg 2.69

Results
Energy relative to the elements, uncorrected   0.089 eV per atom
Size of the total moment   0.0 μB per cell
DOS at the Fermi energy   0.59 states/eV per atom
ΔE to the lowest computed polymorph   25.6 kJ/mol of atoms


No. 4
MgTeP2 | PBE-GGA | optimized geometry

Cell lengths 9.3100, 9.3100, 9.3100 Å; angles 160.17, 157.29, 30.33 degrees
Closest atoms and distances in Å follow each position.
Element x y z (fractional)
1 Mg 0.0000 0.0000 0.0000  4 P 2.74, 2 Te 2.91
2 Te 0.6260 0.1260 0.5000  2 Mg 2.91, 2 Te 3.21
3 P 0.3482 0.8482 0.5000  2 P 2.17
4 P 0.4296 0.4296 0.0000  2 P 2.17

Results
Energy relative to the elements, uncorrected   -0.121 eV per atom
Size of the total moment   0.0 μB per cell
DOS at the Fermi energy   0.29 states/eV per atom
ΔE to the lowest computed polymorph   2.6 kJ/mol of atoms


No. 5
MgTeP2 | PBE-GGA | optimized geometry

Cell lengths 3.4820, 4.4246, 5.1813 Å; angles 90.00, 90.00, 90.00 degrees
Closest atoms and distances in Å follow each position.
Element x y z (fractional)
1 Mg 0.0000 0.0000 0.0000  4 P 2.82, 4 Te 3.12
2 Te 0.5000 0.0000 0.5000  4 P 2.82, 4 Mg 3.12
3 P 0.0000 0.5000 0.5000  4 Te 2.82, 4 P 3.12
4 P 0.5000 0.5000 0.0000  4 Mg 2.82, 4 P 3.12

Results
Energy relative to the elements, uncorrected   0.332 eV per atom
Size of the total moment   0.0 μB per cell
DOS at the Fermi energy   0.32 states/eV per atom
ΔE to the lowest computed polymorph   46.3 kJ/mol of atoms


No. 6
MgTeP2 | PBE-GGA | optimized geometry

Cell lengths 6.7271, 6.7271, 6.7271 Å; angles 33.76, 33.76, 33.76 degrees
Closest atoms and distances in Å follow each position.
Element x y z (fractional)
1 Mg 0.0000 0.0000 0.0000  6 P 2.73
2 Te 0.5000 0.5000 0.5000  6 P 2.78
3 P 0.2521 0.2521 0.2521  3 Mg 2.73, 3 Te 2.78
4 P 0.7479 0.7479 0.7479  3 Mg 2.73, 3 Te 2.78

Results
Energy relative to the elements, uncorrected   0.031 eV per atom
Size of the total moment   0.0 μB per cell
DOS at the Fermi energy   0.19 states/eV per atom
ΔE to the lowest computed polymorph   17.3 kJ/mol of atoms


No. 7
MgTeP2 | PBE-GGA | optimized geometry

Cell lengths 5.4905, 5.4905, 5.4905 Å; angles 139.52, 130.84, 65.50 degrees
Closest atoms and distances in Å follow each position.
Element x y z (fractional)
1 Mg 0.0000 0.0000 0.0000  4 Te 2.97, 8 P 3.06-3.21
2 Te 0.5000 0.5000 0.0000  4 P 2.78, 4 Mg 2.97
3 P 0.2799 0.7799 0.5000  2 Te 2.78, 4 P 3.02, 2 Mg 3.06
4 P 0.7201 0.2201 0.5000  2 Te 2.78, 4 P 3.02, 2 Mg 3.06

Results
Energy relative to the elements, uncorrected   0.307 eV per atom
Size of the total moment   0.0 μB per cell
DOS at the Fermi energy   0.28 states/eV per atom
ΔE to the lowest computed polymorph   43.9 kJ/mol of atoms


No. 8
MgTeP2 | PBE-GGA | optimized geometry

Cell lengths 3.8758, 3.8758, 5.7169 Å; angles 90.00, 90.00, 90.00 degrees
Closest atoms and distances in Å follow each position.
Element x y z (fractional)
1 Mg 0.0000 0.0000 0.0000  2 Te 2.86, 8 P 2.94
2 Te 0.0000 0.0000 0.5000  2 Mg 2.86
3 P 0.5000 0.5000 0.1842  1 P 2.11
4 P 0.5000 0.5000 0.8158  1 P 2.11

Results
Energy relative to the elements, uncorrected   0.125 eV per atom
Size of the total moment   0.0 μB per cell
DOS at the Fermi energy   0.62 states/eV per atom
ΔE to the lowest computed polymorph   26.4 kJ/mol of atoms


No. 9
MgTeP2 | PBE-GGA | optimized geometry

Cell lengths 5.5728, 5.5728, 4.8586 Å; angles 103.88, 103.88, 42.36 degrees
Closest atoms and distances in Å follow each position.
Element x y z (fractional)
1 Mg 0.0000 0.0000 0.0000  6 P 2.92-3.09, 4 Te 3.16
2 Te 0.5000 0.5000 0.5000  2 P 2.74
3 P 0.2982 0.2982 0.0110  2 P 2.24
4 P 0.7018 0.7018 0.9890  2 P 2.24

Results
Energy relative to the elements, uncorrected   0.056 eV per atom
Size of the total moment   0.0 μB per cell
DOS at the Fermi energy   0.27 states/eV per atom
ΔE to the lowest computed polymorph   19.7 kJ/mol of atoms


No. 10
MgTl2TeP | PBE-GGA | optimized geometry

Cell lengths 5.3750, 5.3750, 5.5166 Å; angles 90.00, 90.00, 90.00 degrees
Closest atoms and distances in Å follow each position.
Element x y z (fractional)
1 Mg 0.0000 0.0000 0.0000  4 Te 3.80, 8 Tl 3.85
2 Tl 0.0000 0.5000 0.5000  2 P 2.69
3 Tl 0.5000 0.0000 0.5000  2 P 2.69
4 Te 0.5000 0.5000 0.0000  2 P 2.76
5 P 0.5000 0.5000 0.5000  4 Tl 2.69, 2 Te 2.76

Results
Energy relative to the elements, uncorrected   0.273 eV per atom
Size of the total moment   0.0 μB per cell
DOS at the Fermi energy   0.43 states/eV per atom


No. 11
ThMgP2 | PBE-GGA | optimized geometry

Cell lengths 6.9344, 6.9344, 6.9344 Å; angles 34.04, 34.04, 34.04 degrees
Closest atoms and distances in Å follow each position.
Element x y z (fractional)
1 Th 0.0000 0.0000 0.0000  6 P 2.88-2.89
2 Mg 0.8260 0.8260 0.8260  6 P 2.75-2.91
3 P 0.4188 0.4188 0.4188  3 Mg 2.75, 3 Th 2.88
4 P 0.5805 0.5805 0.5805  3 Th 2.89, 3 Mg 2.91, 1 P 3.17

Results
Size of the total moment   0.0 μB per cell
DOS at the Fermi energy   0.05 states/eV per atom
ΔE to the lowest computed polymorph   9.0 kJ/mol of atoms


No. 12
Th2MgP | PBE-GGA | optimized geometry

Cell lengths 10.6277, 10.6277, 10.6277 Å; angles 20.50, 20.50, 20.50 degrees
Closest atoms and distances in Å follow each position.
Element x y z (fractional)
1 Th 0.1103 0.1103 0.1103  3 P 2.80
2 Th 0.8897 0.8897 0.8897  3 P 2.80
3 Mg 0.0000 0.0000 0.0000  2 Th 3.44, 6 Mg 3.78
4 P 0.5000 0.5000 0.5000  6 Th 2.80

Results
Uncorrected energy   -5.74 eV per atom
Size of the total moment   0.2 μB per cell
DOS at the Fermi energy   1.30 states/eV per atom